Entry 1:
! Zr2Sc2Os PBE-GGA relaxed; values from VASP
&SYSTEM
  ibrav = 0, nat = 10, ntyp = 3
/
ATOMIC_SPECIES
Zr 91.22 Zr.upf
Sc 44.96 Sc.upf
Os 190.23 Os.upf
ATOMIC_POSITIONS angstrom
Zr 1.002 2.356 0.000
Zr 2.356 5.713 0.000
Zr 4.359 1.002 0.000
Zr 5.713 4.359 0.000
Sc 1.123 4.481 2.503
Sc 2.234 1.123 2.503
Sc 4.481 5.592 2.503
Sc 5.592 2.234 2.503
Os 0.000 0.000 0.000
Os 3.358 3.358 0.000
CELL_PARAMETERS angstrom
6.715 0.000 0.000
0.000 6.715 0.000
0.000 0.000 5.005
! * total energy: -81.9 eV per cell
! * formation energy from the elements: 0.007 eV/atom
! * crystal system: tetragonal
! * polymorph energy (0 for the lowest one): 179 meV per atom
! * density: 6.81 g/cm3

=====

Entry 2:
! Re2SbTe PBE-GGA relaxed; values from VASP
&SYSTEM
  ibrav = 0, nat = 4, ntyp = 3
/
ATOMIC_SPECIES
Re 186.21 Re.upf
Sb 121.76 Sb.upf
Te 127.60 Te.upf
ATOMIC_POSITIONS angstrom
Re 1.645 1.645 1.645
Re 4.936 4.936 4.936
Sb 0.000 0.000 0.000
Te 3.291 3.291 3.291
CELL_PARAMETERS angstrom
0.000 3.291 3.291
3.291 0.000 3.291
3.291 3.291 0.000
! * formation energy (no corrections): 0.718 eV/atom
! * total energy: -29.3 eV per cell
! * crystal system: cubic
! * polymorph energy (0 for the lowest one): 409 meV per atom
! * density: 14.49 g/cm3

=====

Entry 3:
! KZn2Hg PBE-GGA relaxed; values from VASP
&SYSTEM
  ibrav = 0, nat = 4, ntyp = 3
/
ATOMIC_SPECIES
K 39.10 K.upf
Zn 65.41 Zn.upf
Hg 200.59 Hg.upf
ATOMIC_POSITIONS angstrom
K 0.000 0.000 0.000
Zn 1.704 1.707 2.346
Zn 1.704 -1.707 2.346
Hg 3.408 0.000 0.000
CELL_PARAMETERS angstrom
3.408 -3.414 0.000
3.408 3.414 0.000
0.000 0.000 4.692
! * total energy: -3.4 eV per cell
! * formation energy from the elements: 0.148 eV/atom
! * crystal system: orthorhombic
! * density: 5.63 g/cm3

=====

Entry 4:
! AcCd2Pd PBE-GGA relaxed; values from VASP
&SYSTEM
  ibrav = 0, nat = 4, ntyp = 3
/
ATOMIC_SPECIES
Ac 227.00 Ac.upf
Cd 112.41 Cd.upf
Pd 106.42 Pd.upf
ATOMIC_POSITIONS angstrom
Ac 0.000 0.000 0.000
Cd 0.000 0.000 3.504
Cd 0.000 0.000 13.156
Pd 0.000 0.000 8.330
CELL_PARAMETERS angstrom
2.356 1.360 5.553
-2.356 1.360 5.553
0.000 -2.720 5.553
! * total energy: -12.6 eV per cell
! * formation energy from the elements: -0.355 eV/atom
! * crystal system: trigonal
! * polymorph energy (0 for the lowest one): 207 meV per atom
! * density: 8.68 g/cm3